Compound: Pa2CBr
Source: Alexandria
Functional: PBE-GGA
Structure: optimized geometry

a = 3.434 Å, b = 3.434 Å, c = 23.652 Å
α = 90.00°, β = 90.00°, γ = 120.00°
Positions (direct):
Pa1 0.000 0.000 0.228
Pa2 0.000 0.000 0.772
Pa3 0.333 0.667 0.438
Pa4 0.333 0.667 0.895
Pa5 0.667 0.333 0.105
Pa6 0.667 0.333 0.562
C1 0.000 0.000 0.500
C2 0.333 0.667 0.167
C3 0.667 0.333 0.833
Br1 0.000 0.000 0.000
Br2 0.333 0.667 0.667
Br3 0.667 0.333 0.333

Computed properties:
* electronic total energy: -8.140 eV per atom
* crystal system: trigonal
* E_form (uncorrected): -258 kJ/mol of formula units
* space group: R-3m (166)

---

Compound: K2Cu
Source: Alexandria
Functional: PBE-GGA
Structure: optimized geometry

a = 8.236 Å, b = 8.236 Å, c = 8.236 Å
α = 90.00°, β = 90.00°, γ = 90.00°
Positions (direct):
K1 0.162 0.162 0.162
K2 0.162 0.338 0.662
K3 0.338 0.662 0.162
K4 0.338 0.838 0.662
K5 0.662 0.162 0.338
K6 0.662 0.338 0.838
K7 0.838 0.662 0.338
K8 0.838 0.838 0.838
Cu1 0.000 0.000 0.500
Cu2 0.000 0.500 0.000
Cu3 0.500 0.000 0.000
Cu4 0.500 0.500 0.500

Computed properties:
* electronic total energy: -1.739 eV per atom
* crystal system: cubic
* ΔE_f: 0.358 eV/atom
* energy above the lowest structure with this stoichiometry: 48.5 meV per atom
* space group: Pa-3 (205)

---

Compound: ZrOsPt2
Source: Alexandria
Functional: PBE-GGA
Structure: optimized geometry

a = 2.820 Å, b = 4.088 Å, c = 5.693 Å
α = 90.00°, β = 90.00°, γ = 90.00°
Positions (direct):
Zr1 0.000 0.000 0.000
Os1 0.000 0.000 0.500
Pt1 0.500 0.500 0.265
Pt2 0.500 0.500 0.735

Computed properties:
* electronic total energy: -8.382 eV per atom
* crystal system: orthorhombic
* ΔE_f: -0.417 eV/atom
* space group: Pmmm (47)

---

Compound: Sm3GeI3
Source: Alexandria
Functional: PBE-GGA
Structure: optimized geometry

a = 9.034 Å, b = 4.317 Å, c = 12.426 Å
α = 90.00°, β = 90.41°, γ = 90.00°
Positions (direct):
Sm1 0.100 0.250 0.384
Sm2 0.118 0.250 0.844
Sm3 0.325 0.750 0.622
Sm4 0.675 0.250 0.378
Sm5 0.882 0.750 0.156
Sm6 0.900 0.750 0.616
Ge1 0.118 0.250 0.618
Ge2 0.882 0.750 0.382
I1 0.137 0.250 0.119
I2 0.371 0.750 0.875
I3 0.384 0.750 0.366
I4 0.616 0.250 0.634
I5 0.629 0.250 0.125
I6 0.863 0.750 0.881

Computed properties:
* electronic total energy: -4.530 eV per atom
* crystal system: monoclinic
* energy above the lowest structure with this stoichiometry: 0.0 meV per atom
* E_form (uncorrected): -799 kJ/mol of formula units
* space group: P2_1/m (11)